Material: HfNbS2Cl
Method: DFT, PBE-GGA
State: optimized geometry

POSCAR file:
```
HfNbS2Cl
1.0
4.952 0.000 0.000
0.000 4.952 0.000
0.000 0.000 4.808
Hf Nb S Cl
1 1 2 1
Cartesian
0.000 0.000 0.000 Hf
2.476 2.476 2.404 Nb
0.000 2.476 0.000 S
2.476 0.000 0.000 S
0.000 0.000 2.404 Cl
```

**Energy above the lowest structure with this stoichiometry**: 0.0000 eV/atom
**E_tot**: -31.1 eV per cell
**Uncorrected formation energy**: -0.196 eV per atom

---

Material: HfNbSCl2
Method: DFT, PBE-GGA
State: optimized geometry

POSCAR file:
```
HfNbSCl2
1.0
4.830 0.000 0.000
0.000 4.830 0.000
0.000 0.000 4.896
Hf Nb S Cl
1 1 1 2
Cartesian
0.000 0.000 0.000 Hf
2.415 2.415 2.448 Nb
2.415 2.415 0.000 S
0.000 2.415 2.448 Cl
2.415 0.000 2.448 Cl
```

**Energy above the lowest structure with this stoichiometry**: 0.2552 eV/atom
**E_tot**: -27.1 eV per cell
**Uncorrected formation energy**: 0.144 eV per atom

---

Material: HfNbSCl2
Method: DFT, PBE-GGA
State: optimized geometry

POSCAR file:
```
HfNbSCl2
1.0
4.894 0.000 0.000
0.000 4.894 0.000
0.000 0.000 5.004
Hf Nb S Cl
1 1 1 2
Cartesian
0.000 0.000 0.000 Hf
2.447 2.447 2.502 Nb
0.000 0.000 2.502 S
0.000 2.447 0.000 Cl
2.447 0.000 0.000 Cl
```

**Energy above the lowest structure with this stoichiometry**: 0.0000 eV/atom
**E_tot**: -28.4 eV per cell
**Uncorrected formation energy**: -0.112 eV per atom

---

Material: HfNbS2Cl
Method: DFT, PBE-GGA
State: optimized geometry

POSCAR file:
```
HfNbS2Cl
1.0
4.811 0.000 0.000
0.000 4.811 0.000
0.000 0.000 4.742
Hf Nb S Cl
1 1 2 1
Cartesian
0.000 0.000 0.000 Hf
2.406 2.406 2.371 Nb
0.000 2.406 2.371 S
2.406 0.000 2.371 S
2.406 2.406 0.000 Cl
```

**Energy above the lowest structure with this stoichiometry**: 0.2073 eV/atom
**E_tot**: -30.1 eV per cell
**Uncorrected formation energy**: 0.011 eV per atom

---

Material: HfNbSbCl2
Method: DFT, PBE-GGA
State: optimized geometry

POSCAR file:
```
HfNbSbCl2
1.0
4.644 0.000 0.000
0.000 4.644 0.000
0.000 0.000 6.059
Hf Nb Sb Cl
1 1 1 2
Cartesian
0.000 0.000 0.000 Hf
2.322 2.322 3.029 Nb
2.322 2.322 0.000 Sb
0.000 2.322 3.029 Cl
2.322 0.000 3.029 Cl
```

**E_tot**: -27.0 eV per cell
**Uncorrected formation energy**: 0.172 eV per atom

---

Material: HfNbSeCl2
Method: DFT, PBE-GGA
State: optimized geometry

POSCAR file:
```
HfNbSeCl2
1.0
4.849 0.000 0.000
0.000 4.849 0.000
0.000 0.000 5.347
Hf Nb Se Cl
1 1 1 2
Cartesian
0.000 0.000 0.000 Hf
2.424 2.424 2.674 Nb
0.000 0.000 2.674 Se
0.000 2.424 0.000 Cl
2.424 0.000 0.000 Cl
```

**E_tot**: -27.7 eV per cell
**Uncorrected formation energy**: -0.096 eV per atom

---

Material: HfNbTlCl2
Method: DFT, PBE-GGA
State: optimized geometry

POSCAR file:
```
HfNbTlCl2
1.0
4.777 0.000 0.000
0.000 4.777 0.000
0.000 0.000 5.659
Hf Nb Tl Cl
1 1 1 2
Cartesian
0.000 0.000 0.000 Hf
0.000 0.000 2.830 Nb
2.389 2.389 0.000 Tl
0.000 2.389 2.830 Cl
2.389 0.000 2.830 Cl
```

**E_tot**: -25.4 eV per cell
**Uncorrected formation energy**: 0.134 eV per atom

---

Material: Nd2HfCl
Method: DFT, PBE-GGA
State: optimized geometry

POSCAR file:
```
Nd2HfCl
1.0
1.669 0.964 11.146
-1.669 0.964 11.146
0.000 -1.927 11.146
Nd Hf Cl
2 1 1
Cartesian
0.000 0.000 3.242 Nd
0.000 0.000 30.196 Nd
0.000 0.000 0.000 Hf
0.000 0.000 16.719 Cl
```

**E_tot**: -22.4 eV per cell
**Uncorrected formation energy**: -0.270 eV per atom

---

Material: Hf3NiCl
Method: DFT, PBE-GGA
State: optimized geometry

POSCAR file:
```
Hf3NiCl
1.0
4.874 0.000 0.000
0.000 4.874 0.000
0.000 0.000 4.874
Hf Ni Cl
3 1 1
Cartesian
0.000 0.000 2.437 Hf
0.000 2.437 0.000 Hf
2.437 0.000 0.000 Hf
0.000 0.000 0.000 Ni
2.437 2.437 2.437 Cl
```

**Energy above the lowest structure with this stoichiometry**: 0.0000 eV/atom
**E_tot**: -35.7 eV per cell
**Uncorrected formation energy**: 0.361 eV per atom

---

Material: Hf2NiCl
Method: DFT, PBE-GGA
State: optimized geometry

POSCAR file:
```
Hf2NiCl
1.0
0.000 3.252 3.252
3.252 0.000 3.252
3.252 3.252 0.000
Hf Ni Cl
2 1 1
Cartesian
1.626 1.626 1.626 Hf
4.878 4.878 4.878 Hf
0.000 0.000 0.000 Ni
3.252 3.252 3.252 Cl
```

**Energy above the lowest structure with this stoichiometry**: 0.0000 eV/atom
**E_tot**: -28.1 eV per cell
**Uncorrected formation energy**: -0.151 eV per atom

---

Material: Hf2NiCl
Method: DFT, PBE-GGA
State: optimized geometry

POSCAR file:
```
Hf2NiCl
1.0
-2.750 2.750 6.098
2.750 -2.750 6.098
2.750 2.750 -6.098
Hf Ni Cl
4 2 2
Cartesian
4.125 1.207 -1.524 Hf
1.207 1.375 1.524 Hf
-1.375 1.543 4.573 Hf
1.543 1.375 7.622 Hf
0.000 0.000 0.000 Ni
0.000 2.750 3.049 Ni
2.750 0.000 3.049 Cl
0.000 0.000 6.098 Cl
```

**Energy above the lowest structure with this stoichiometry**: 0.2496 eV/atom
**E_tot**: -54.3 eV per cell
**Uncorrected formation energy**: 0.098 eV per atom

---

Material: HfNiP2Cl
Method: DFT, PBE-GGA
State: optimized geometry

POSCAR file:
```
HfNiP2Cl
1.0
5.016 0.000 0.000
0.000 5.016 0.000
0.000 0.000 4.841
Hf Ni P Cl
1 1 2 1
Cartesian
0.000 0.000 0.000 Hf
2.508 2.508 2.421 Ni
0.000 2.508 0.000 P
2.508 0.000 0.000 P
0.000 0.000 2.421 Cl
```

**Energy above the lowest structure with this stoichiometry**: 0.2448 eV/atom
**E_tot**: -26.3 eV per cell
**Uncorrected formation energy**: 0.412 eV per atom

---

Material: HfNiP2Cl
Method: DFT, PBE-GGA
State: optimized geometry

POSCAR file:
```
HfNiP2Cl
1.0
4.438 0.000 0.000
0.000 4.438 0.000
0.000 0.000 4.411
Hf Ni P Cl
1 1 2 1
Cartesian
0.000 0.000 0.000 Hf
2.219 2.219 2.206 Ni
0.000 2.219 2.206 P
2.219 0.000 2.206 P
2.219 2.219 0.000 Cl
```

**Energy above the lowest structure with this stoichiometry**: 0.0000 eV/atom
**E_tot**: -27.6 eV per cell
**Uncorrected formation energy**: 0.167 eV per atom

---

Material: HfNiPCl2
Method: DFT, PBE-GGA
State: optimized geometry

POSCAR file:
```
HfNiPCl2
1.0
4.334 0.000 0.000
0.000 4.334 0.000
0.000 0.000 4.857
Hf Ni P Cl
1 1 1 2
Cartesian
0.000 0.000 0.000 Hf
2.167 2.167 2.429 Ni
2.167 2.167 0.000 P
0.000 2.167 2.429 Cl
2.167 0.000 2.429 Cl
```

**Energy above the lowest structure with this stoichiometry**: 0.1379 eV/atom
**E_tot**: -24.4 eV per cell
**Uncorrected formation energy**: 0.085 eV per atom

---

Material: HfNiPCl2
Method: DFT, PBE-GGA
State: optimized geometry

POSCAR file:
```
HfNiPCl2
1.0
4.856 0.000 0.000
0.000 4.856 0.000
0.000 0.000 5.170
Hf Ni P Cl
1 1 1 2
Cartesian
0.000 0.000 0.000 Hf
2.428 2.428 2.585 Ni
0.000 0.000 2.585 P
0.000 2.428 0.000 Cl
2.428 0.000 0.000 Cl
```

**Energy above the lowest structure with this stoichiometry**: 0.0000 eV/atom
**E_tot**: -25.1 eV per cell
**Uncorrected formation energy**: -0.053 eV per atom

---

Material: Hf2NiRhCl
Method: DFT, PBE-GGA
State: optimized geometry

POSCAR file:
```
Hf2NiRhCl
1.0
4.791 0.000 0.000
0.000 4.791 0.000
0.000 0.000 4.546
Hf Ni Rh Cl
2 1 1 1
Cartesian
0.000 2.396 0.000 Hf
2.396 0.000 0.000 Hf
0.000 0.000 0.000 Ni
0.000 0.000 2.273 Rh
2.396 2.396 2.273 Cl
```

**E_tot**: -33.0 eV per cell
**Uncorrected formation energy**: 0.370 eV per atom

---

Material: HfNiS2Cl
Method: DFT, PBE-GGA
State: optimized geometry

POSCAR file:
```
HfNiS2Cl
1.0
4.940 0.000 0.000
0.000 4.940 0.000
0.000 0.000 4.896
Hf Ni S Cl
1 1 2 1
Cartesian
0.000 0.000 0.000 Hf
2.470 2.470 2.448 Ni
0.000 2.470 0.000 S
2.470 0.000 0.000 S
0.000 0.000 2.448 Cl
```

**Energy above the lowest structure with this stoichiometry**: 0.0000 eV/atom
**E_tot**: -27.2 eV per cell
**Uncorrected formation energy**: -0.273 eV per atom

---

Material: HfNiS2Cl
Method: DFT, PBE-GGA
State: optimized geometry

POSCAR file:
```
HfNiS2Cl
1.0
4.494 0.000 0.000
0.000 4.494 0.000
0.000 0.000 4.299
Hf Ni S Cl
1 1 2 1
Cartesian
0.000 0.000 0.000 Hf
2.247 2.247 2.149 Ni
0.000 2.247 2.149 S
2.247 0.000 2.149 S
2.247 2.247 0.000 Cl
```

**Energy above the lowest structure with this stoichiometry**: 0.1623 eV/atom
**E_tot**: -26.4 eV per cell
**Uncorrected formation energy**: -0.110 eV per atom

---

Material: HfSc2NiCl
Method: DFT, PBE-GGA
State: optimized geometry

POSCAR file:
```
HfSc2NiCl
1.0
4.813 0.000 0.000
0.000 4.813 0.000
0.000 0.000 4.243
Hf Sc Ni Cl
1 2 1 1
Cartesian
0.000 0.000 0.000 Hf
0.000 2.407 2.121 Sc
2.407 0.000 2.121 Sc
2.407 2.407 0.000 Ni
2.407 2.407 2.121 Cl
```

**Energy above the lowest structure with this stoichiometry**: 0.0000 eV/atom
**E_tot**: -30.3 eV per cell
**Uncorrected formation energy**: -0.012 eV per atom

---

Material: HfSc2NiCl
Method: DFT, PBE-GGA
State: optimized geometry

POSCAR file:
```
HfSc2NiCl
1.0
5.475 0.000 0.000
0.000 5.475 0.000
0.000 0.000 4.439
Hf Sc Ni Cl
1 2 1 1
Cartesian
0.000 0.000 0.000 Hf
0.000 2.738 0.000 Sc
2.738 0.000 0.000 Sc
0.000 0.000 2.220 Ni
2.738 2.738 2.220 Cl
```

**Energy above the lowest structure with this stoichiometry**: 0.6799 eV/atom
**E_tot**: -26.9 eV per cell
**Uncorrected formation energy**: 0.668 eV per atom

---

Number 1: D(E_F) 4.727 states/eV/cell, spin magnetization 3.65 μB per formula unit. Number 2: D(E_F) 5.249 states/eV/cell, spin magnetization 2.95 μB per formula unit. Number 3: D(E_F) 6.768 states/eV/cell, spin magnetization 3.91 μB per formula unit. Number 4: D(E_F) 4.948 states/eV/cell, spin magnetization 2.16 μB per formula unit. Number 5: D(E_F) 4.859 states/eV/cell, spin magnetization 1.25 μB per formula unit. Number 6: D(E_F) 3.859 states/eV/cell, spin magnetization 4.07 μB per formula unit. Number 7: D(E_F) 5.371 states/eV/cell, spin magnetization 0.00 μB per formula unit. Number 8: D(E_F) 4.349 states/eV/cell, spin magnetization 0.00 μB per formula unit. Number 9: D(E_F) 8.195 states/eV/cell, spin magnetization 0.00 μB per formula unit. Number 10: D(E_F) 3.950 states/eV/cell, spin magnetization 0.00 μB per formula unit. Number 11: D(E_F) 8.336 states/eV/cell, spin magnetization 0.00 μB per formula unit. Number 12: D(E_F) 8.699 states/eV/cell, spin magnetization 1.19 μB per formula unit. Number 13: D(E_F) 2.747 states/eV/cell, spin magnetization 0.00 μB per formula unit. Number 14: D(E_F) 3.378 states/eV/cell, spin magnetization 0.00 μB per formula unit. Number 15: D(E_F) 5.704 states/eV/cell, spin magnetization 1.07 μB per formula unit. Number 16: D(E_F) 3.982 states/eV/cell, spin magnetization 0.00 μB per formula unit. Number 17: D(E_F) 9.555 states/eV/cell, spin magnetization 1.04 μB per formula unit. Number 18: D(E_F) 3.235 states/eV/cell, spin magnetization 0.03 μB per formula unit. Number 19: D(E_F) 4.695 states/eV/cell, spin magnetization 0.00 μB per formula unit. Number 20: D(E_F) 3.839 states/eV/cell, spin magnetization 0.00 μB per formula unit.